First-principles (PBE-GGA) data for an optimized crystal structure of LiAcAg4, as listed in Alexandria via LeMat-Bulk.

Output
Offset from the most stable computed form: 160 meV per atom
Energy relative to the elements: -0.08 eV per formula unit
Crystal system: tetragonal
N(E_F): 3.425 states/eV/f.u.
Calculated density: 6.95 g/cm³
SG: I-4m2 (119)

abc: 4.300 4.300 9.113
angles: 103.65 103.65 90.00
Fractional positions:
Li: 0.250 0.750 0.500
Ac: 0.000 0.000 0.000
Ag: 0.673 0.173 0.346
Ag: 0.580 0.580 0.161
Ag: 0.827 0.327 0.654
Ag: 0.420 0.420 0.839